Density functional theory data (meta-GGA SCAN) for YBiSe2N at its PBEsol-relaxed geometry.

Geometry as POSCAR:
```
YBiSe2N
1.0
4.1563 0.0000 0.0000
0.0000 5.3969 0.0000
0.0000 0.0000 5.3969
N Se Bi Y
1 2 1 1
Direct
0.5000 0.0000 0.0000
0.0000 0.5000 0.0000
0.0000 0.0000 0.5000
0.0000 0.0000 0.0000
0.5000 0.5000 0.5000
```

Output
Uncorrected energy in eV per atom: -30.99
Symmetry: P4/mmm

***

Density functional theory data (meta-GGA SCAN) for CrFe2HgO at its PBEsol-relaxed geometry.

Geometry as POSCAR:
```
CrFe2HgO
1.0
-1.7553 3.7072 -0.3004
-3.5593 -1.4410 3.0152
2.6126 1.5468 3.8233
O Hg Fe Cr
1 1 2 1
Direct
0.5000 0.0000 0.0000
0.0000 0.0000 0.0000
0.0000 0.5000 0.0000
0.0000 0.0000 0.5000
0.5000 0.5000 0.5000
```

Output
Uncorrected energy in eV per atom: -24.48
Symmetry: P4/mmm

***

| no. | formation energy (no corrections) (eV per formula unit) |
| --- | --- |
| 1 | 0.9 |
| 2 | 6.6 |